Record 1
Computed, not measured: a relaxed structure of Ac6In2OsO at the PBE level of DFT.

Calculated values
ΔE_f (raw) = -0.620 eV per atom

Geometry as POSCAR:
```
Ac6In2OsO
1.0
-3.957 3.957 5.585
3.957 -3.957 5.585
3.957 3.957 -5.585
Ac In Os O
6 2 1 1
Direct
0.241 0.241 0.000
0.243 0.243 0.487
0.243 0.757 0.000
0.757 0.243 0.000
0.757 0.757 0.513
0.759 0.759 0.000
0.250 0.750 0.500
0.750 0.250 0.500
0.500 0.500 0.000
0.000 0.000 0.000
```

Record 2
Computed, not measured: a relaxed structure of NiPd3Cl9 at the PBE level of DFT.

Calculated values
ΔE_f (raw) = -0.358 eV per atom

Geometry as POSCAR:
```
NiPd3Cl9
1.0
9.361 -3.351 0.000
9.361 3.351 0.000
-9.252 0.000 10.528
Ni Pd Cl
2 6 18
Direct
0.019 0.981 0.500
0.981 0.019 0.000
0.320 0.735 0.763
0.381 0.403 0.745
0.403 0.381 0.245
0.499 0.930 0.312
0.735 0.320 0.263
0.930 0.499 0.812
0.058 0.685 0.646
0.153 0.437 0.046
0.184 0.769 0.345
0.202 0.922 0.189
0.240 0.282 0.754
0.282 0.240 0.254
0.313 0.752 0.939
0.336 0.693 0.588
0.437 0.153 0.546
0.630 0.715 0.886
0.685 0.058 0.146
0.693 0.336 0.088
0.715 0.630 0.386
0.752 0.313 0.439
0.769 0.184 0.845
0.834 0.845 0.380
0.845 0.834 0.880
0.922 0.202 0.689
```

Record 3
Computed, not measured: a relaxed structure of Ce2SiHPt6 at the PBE level of DFT.

Calculated values
Electronic total energy = -0.240 Ha/atom

Geometry as POSCAR:
```
Ce2SiHPt6
1.0
2.855 1.648 6.023
-2.855 1.648 6.023
0.000 -3.297 6.023
Ce Si H Pt
2 1 1 6
Direct
0.221 0.221 0.221
0.779 0.779 0.779
0.500 0.500 0.500
0.000 0.000 0.000
0.233 0.233 0.731
0.233 0.731 0.233
0.269 0.767 0.767
0.731 0.233 0.233
0.767 0.269 0.767
0.767 0.767 0.269
```

Record 4
Computed, not measured: a relaxed structure of Rb2OsBr8 at the PBE level of DFT.

Calculated values
ΔE_f (raw) = -0.641 eV per atom

Geometry as POSCAR:
```
Rb2OsBr8
1.0
6.641 -5.407 0.000
6.641 5.407 0.000
-1.069 0.000 6.560
Rb Os Br
2 1 8
Direct
0.163 0.163 0.403
0.837 0.837 0.597
0.500 0.500 0.500
0.084 0.084 0.883
0.230 0.555 0.628
0.387 0.387 0.167
0.445 0.770 0.372
0.555 0.230 0.628
0.613 0.613 0.833
0.770 0.445 0.372
0.916 0.916 0.117
```

Record 5
Computed, not measured: a relaxed structure of TbBiSb at the PBE level of DFT.

Calculated values
Energy relative to the lowest polymorph listed for this composition = 16 meV per atom
ΔE_f (raw) = -0.579 eV per atom

Geometry as POSCAR:
```
TbBiSb
1.0
-2.035 2.035 5.169
2.035 -2.035 5.169
2.035 2.035 -5.169
Tb Bi Sb
1 1 1
Direct
0.000 0.000 0.000
0.666 0.666 0.000
0.362 0.362 0.000
```

Record 6
Computed, not measured: a relaxed structure of MoWAu2 at the PBE level of DFT.

Calculated values
Energy relative to the lowest polymorph listed for this composition = 163 meV per atom
Energy of formation from the pure elements = 0.367 eV per atom

Geometry as POSCAR:
```
MoWAu2
1.0
3.901 0.000 0.000
0.000 3.901 0.000
0.000 0.000 4.368
Mo W Au
1 1 2
Direct
0.000 0.000 0.000
0.500 0.500 0.000
0.000 0.500 0.500
0.500 0.000 0.500
```

Record 7
Computed, not measured: a relaxed structure of LaOs2 at the PBE level of DFT.

Calculated values
Energy of formation from the pure elements = -0.008 eV per atom

Geometry as POSCAR:
```
LaOs2
1.0
-2.177 2.177 7.229
2.177 -2.177 7.229
2.177 2.177 -7.229
La Os
2 4
Direct
0.375 0.625 0.750
0.625 0.375 0.250
0.041 0.791 0.250
0.209 0.959 0.250
0.791 0.041 0.750
0.959 0.209 0.750
```

Record 8
Computed, not measured: a relaxed structure of KSrAc at the PBE level of DFT.

Calculated values
Energy relative to the lowest polymorph listed for this composition = 47 meV per atom
Energy of formation from the pure elements = 0.192 eV per atom

Geometry as POSCAR:
```
KSrAc
1.0
-2.015 2.015 10.015
2.015 -2.015 10.015
2.015 2.015 -10.015
K Sr Ac
1 1 1
Direct
0.000 0.000 0.000
0.682 0.682 0.000
0.329 0.329 0.000
```

Record 9
Computed, not measured: a relaxed structure of NpCd2HgO8 at the PBE level of DFT.

Calculated values
ΔE_f (raw) = -1.149 eV per atom

Geometry as POSCAR:
```
NpCd2HgO8
1.0
5.046 0.000 0.000
0.451 5.030 0.000
0.649 0.595 7.107
Np Cd Hg O
1 2 1 8
Direct
0.000 0.000 0.000
0.472 0.472 0.255
0.528 0.528 0.745
0.000 0.000 0.500
0.161 0.162 0.248
0.203 0.205 0.820
0.293 0.709 0.000
0.301 0.702 0.500
0.699 0.298 0.500
0.707 0.291 0.000
0.797 0.795 0.180
0.839 0.838 0.752
```

Record 10
Computed, not measured: a relaxed structure of Al4Te at the PBE level of DFT.

Calculated values
Energy relative to the lowest polymorph listed for this composition = 884 meV per atom
ΔE_f (raw) = 1.044 eV per atom

Geometry as POSCAR:
```
Al4Te
1.0
5.414 0.000 0.000
0.000 5.414 0.000
0.000 0.000 5.414
Al Te
4 1
Direct
0.000 0.000 0.000
0.000 0.500 0.500
0.500 0.000 0.500
0.500 0.500 0.000
0.500 0.500 0.500
```

Record 11
Computed, not measured: a relaxed structure of Cr2FePt at the PBE level of DFT.

Calculated values
Energy of formation from the pure elements = -0.068 eV per atom

Geometry as POSCAR:
```
Cr2FePt
1.0
2.626 0.000 0.000
0.000 3.563 0.000
-0.018 0.000 5.274
Cr Fe Pt
2 1 1
Direct
0.002 0.000 0.287
0.998 0.000 0.713
0.500 0.500 0.500
0.500 0.500 0.000
```

Record 12
Computed, not measured: a relaxed structure of Sr8Tl2Pt at the PBE level of DFT.

Calculated values
Energy of formation from the pure elements = -0.311 eV per atom

Geometry as POSCAR:
```
Sr8Tl2Pt
1.0
7.090 -5.261 0.000
7.090 5.261 0.000
-2.476 0.000 6.802
Sr Tl Pt
8 2 1
Direct
0.086 0.086 0.295
0.162 0.553 0.251
0.370 0.370 0.752
0.447 0.838 0.749
0.553 0.162 0.251
0.630 0.630 0.248
0.838 0.447 0.749
0.914 0.914 0.705
0.171 0.171 0.907
0.829 0.829 0.093
0.500 0.500 0.500
```

Number 1: total magnetic moment 0.00 Bohr magnetons per cell. Number 2: total magnetic moment 2.11 Bohr magnetons per cell. Number 3: total magnetic moment 1.33 Bohr magnetons per cell. Number 4: total magnetic moment 4.07 Bohr magnetons per cell. Number 5: total magnetic moment 0.00 Bohr magnetons per cell. Number 6: total magnetic moment 0.00 Bohr magnetons per cell. Number 7: total magnetic moment 0.00 Bohr magnetons per cell. Number 8: total magnetic moment 0.00 Bohr magnetons per cell. Number 9: total magnetic moment 0.80 Bohr magnetons per cell. Number 10: total magnetic moment 0.00 Bohr magnetons per cell. Number 11: total magnetic moment 0.00 Bohr magnetons per cell. Number 12: total magnetic moment 0.00 Bohr magnetons per cell.